(1)
# ZnPb2Au PBE optimized geometry
data_ZnPb2Au
_space_group_name_H-M_alt 'P 1'
_space_group_IT_number 1
_space_group_name_Hall 'P 1'
_cell_length_a 5.124
_cell_length_b 5.124
_cell_length_c 3.708
_cell_angle_alpha 90.00
_cell_angle_beta 90.00
_cell_angle_gamma 90.00
loop_
_atom_site_label
_atom_site_type_symbol
_atom_site_fract_x
_atom_site_fract_y
_atom_site_fract_z
Zn1 Zn 0.000 0.000 0.000
Pb1 Pb 0.000 0.500 0.500
Pb2 Pb 0.500 0.000 0.500
Au1 Au 0.500 0.500 0.000
# - Energy relative to the elements: 77 meV/atom
# - Total magnetic moment: 0.0 μB/cell
# - Calculated total energy: -2.92 eV/atom

=====

(2)
# ZnPb2Au2 PBE optimized geometry
data_ZnPb2Au2
_space_group_name_H-M_alt 'P 1'
_space_group_IT_number 1
_space_group_name_Hall 'P 1'
_cell_length_a 8.257
_cell_length_b 8.257
_cell_length_c 3.696
_cell_angle_alpha 90.00
_cell_angle_beta 90.00
_cell_angle_gamma 90.00
loop_
_atom_site_label
_atom_site_type_symbol
_atom_site_fract_x
_atom_site_fract_y
_atom_site_fract_z
Zn1 Zn 0.000 0.000 0.000
Zn2 Zn 0.500 0.500 0.000
Pb1 Pb 0.177 0.323 0.000
Pb2 Pb 0.323 0.823 0.000
Pb3 Pb 0.677 0.177 0.000
Pb4 Pb 0.823 0.677 0.000
Au1 Au 0.124 0.624 0.500
Au2 Au 0.376 0.124 0.500
Au3 Au 0.624 0.876 0.500
Au4 Au 0.876 0.376 0.500
# - Energy relative to the elements: 114 meV/atom
# - Total magnetic moment: 0.0 μB/cell
# - Calculated total energy: -2.94 eV/atom

=====

(3)
# Zn2PbAu10 PBE optimized geometry
data_Zn2PbAu10
_space_group_name_H-M_alt 'P 1'
_space_group_IT_number 1
_space_group_name_Hall 'P 1'
_cell_length_a 9.385
_cell_length_b 7.321
_cell_length_c 7.104
_cell_angle_alpha 81.16
_cell_angle_beta 50.43
_cell_angle_gamma 48.41
loop_
_atom_site_label
_atom_site_type_symbol
_atom_site_fract_x
_atom_site_fract_y
_atom_site_fract_z
Zn1 Zn 0.000 0.000 0.500
Zn2 Zn 0.500 0.500 0.000
Pb1 Pb 0.000 0.000 0.000
Au1 Au 0.000 0.500 0.000
Au2 Au 0.012 0.660 0.340
Au3 Au 0.282 0.508 0.492
Au4 Au 0.340 0.988 0.012
Au5 Au 0.492 0.718 0.282
Au6 Au 0.500 0.000 0.500
Au7 Au 0.508 0.282 0.718
Au8 Au 0.660 0.012 0.988
Au9 Au 0.718 0.492 0.508
Au10 Au 0.988 0.340 0.660
# - Energy relative to the elements: -56 meV/atom
# - Total magnetic moment: 0.0 μB/cell
# - Calculated total energy: -3.06 eV/atom